## PuFeO5 (PBE+U)

Data for a relaxed PuFeO5 crystal.

The space group is C2/c (No. 15) and the conventional cell measures 5.900, 10.386 and 7.521 Å, with angles of 90.00, 108.97 and 90.00 degrees. The distinct sites, in fractional coordinates, are Pu at (0.000, 0.000, 0.000), Fe at (0.000, 0.450, 0.250), O at (0.000, 0.086, 0.250), O at (0.169, 0.430, 0.953) and O at (0.195, 0.139, 0.655).

The total energy is -226.50 eV/cell. Its crystal system is monoclinic. The value obtained for the volume is 15.57 Å³ per atom.